# Dy5Ho4Th2, relaxed, DFT PBE-GGA
data_Dy5Ho4Th2
_space_group_name_H-M_alt 'P 1 2/m 1'
_space_group_IT_number 10
_cell_length_a 8.752
_cell_length_b 3.481
_cell_length_c 11.701
_cell_angle_alpha 90.00
_cell_angle_beta 94.22
_cell_angle_gamma 90.00
loop_
_space_group_symop_operation_xyz
'x,y,z'
'-x,-y,-z'
'-x,y,-z'
'x,-y,z'
loop_
_atom_site_label
_atom_site_type_symbol
_atom_site_fract_x
_atom_site_fract_y
_atom_site_fract_z
Dy1 Dy 0.000 0.000 0.000
Dy2 Dy 0.072 0.000 0.289
Dy3 Dy 0.303 0.000 0.839
Ho1 Ho 0.195 0.500 0.546
Ho2 Ho 0.340 0.500 0.107
Th1 Th 0.464 0.000 0.365
# Size of the total moment = 0.02 μB/cell
# Formation enthalpy at 0 K = 138.8 meV per atom
# Final energy = -54.6 eV per cell

=====

# Dy2HoTh2, relaxed, DFT PBE-GGA
data_Dy2HoTh2
_space_group_name_H-M_alt 'F d d d'
_space_group_IT_number 70
_cell_length_a 3.477
_cell_length_b 16.734
_cell_length_c 23.092
_cell_angle_alpha 90.00
_cell_angle_beta 90.00
_cell_angle_gamma 90.00
loop_
_space_group_symop_operation_xyz
'x,y,z'
'-x,-y,-z'
'-x+1/4,-y+1/4,z'
'x+1/4,y+1/4,-z'
'x,-y+1/4,-z+1/4'
'-x,y+1/4,z+1/4'
'-x+1/4,y,-z+1/4'
'x+1/4,-y,z+1/4'
'x,y+1/2,z+1/2'
'-x,-y+1/2,-z+1/2'
'-x+1/4,-y+3/4,z+1/2'
'x+1/4,y+3/4,-z+1/2'
'x,-y+3/4,-z+3/4'
'-x,y+3/4,z+3/4'
'-x+1/4,y+1/2,-z+3/4'
'x+1/4,-y+1/2,z+3/4'
'x+1/2,y,z+1/2'
'-x+1/2,-y,-z+1/2'
'-x+3/4,-y+1/4,z+1/2'
'x+3/4,y+1/4,-z+1/2'
'x+1/2,-y+1/4,-z+3/4'
'-x+1/2,y+1/4,z+3/4'
'-x+3/4,y,-z+3/4'
'x+3/4,-y,z+3/4'
'x+1/2,y+1/2,z'
'-x+1/2,-y+1/2,-z'
'-x+3/4,-y+3/4,z'
'x+3/4,y+3/4,-z'
'x+1/2,-y+3/4,-z+1/4'
'-x+1/2,y+3/4,z+1/4'
'-x+3/4,y+1/2,-z+1/4'
'x+3/4,-y+1/2,z+1/4'
loop_
_atom_site_label
_atom_site_type_symbol
_atom_site_fract_x
_atom_site_fract_y
_atom_site_fract_z
Dy1 Dy 0.125 0.295 0.125
Ho1 Ho 0.125 0.125 0.625
Th1 Th 0.000 0.000 0.500
# Size of the total moment = 0.00 μB/cell
# Formation enthalpy at 0 K = 445.6 meV per atom
# Final energy = -211.1 eV per cell

=====

# Dy9HoTh2, relaxed, DFT PBE-GGA
data_Dy9HoTh2
_space_group_name_H-M_alt 'P 6/m m m'
_space_group_IT_number 191
_space_group_name_Hall '-P 6 2'
_cell_length_a 11.3209
_cell_length_b 11.3209
_cell_length_c 3.4670
_cell_angle_alpha 90.00
_cell_angle_beta 90.00
_cell_angle_gamma 120.00
loop_
_atom_site_label
_atom_site_type_symbol
_atom_site_fract_x
_atom_site_fract_y
_atom_site_fract_z
Dy1 Dy 0.0000 0.5000 0.0000
Dy2 Dy 0.1731 0.3463 0.5000
Ho1 Ho 0.0000 0.0000 0.0000
Th1 Th 0.3333 0.6667 0.0000
# Size of the total moment = 0.00 μB/cell
# Formation enthalpy at 0 K = 109.1 meV per atom
# Final energy = -59.5 eV per cell

=====

# DyHo4Th3, relaxed, DFT PBE-GGA
data_DyHo4Th3
_space_group_name_H-M_alt 'C 1 2/m 1'
_space_group_IT_number 12
_cell_length_a 23.267
_cell_length_b 3.563
_cell_length_c 6.089
_cell_angle_alpha 90.00
_cell_angle_beta 95.05
_cell_angle_gamma 90.00
loop_
_space_group_symop_operation_xyz
'x,y,z'
'-x,-y,-z'
'-x,y,-z'
'x,-y,z'
'x+1/2,y+1/2,z'
'-x+1/2,-y+1/2,-z'
'-x+1/2,y+1/2,-z'
'x+1/2,-y+1/2,z'
loop_
_atom_site_label
_atom_site_type_symbol
_atom_site_fract_x
_atom_site_fract_y
_atom_site_fract_z
Dy1 Dy 0.000 0.000 0.000
Ho1 Ho 0.124 0.500 0.875
Ho2 Ho 0.250 0.000 0.745
Th1 Th 0.000 0.500 0.500
Th2 Th 0.125 0.000 0.376
# Size of the total moment = 0.00 μB/cell
# Formation enthalpy at 0 K = 27.4 meV per atom
# Final energy = -89.9 eV per cell

=====

# Dy19Ho4Th6, relaxed, DFT PBE-GGA
data_Dy19Ho4Th6
_space_group_name_H-M_alt 'I 2 3'
_space_group_IT_number 197
_space_group_name_Hall 'I 2 2 3'
_cell_length_a 12.421
_cell_length_b 12.421
_cell_length_c 12.421
_cell_angle_alpha 90.00
_cell_angle_beta 90.00
_cell_angle_gamma 90.00
loop_
_atom_site_label
_atom_site_type_symbol
_atom_site_fract_x
_atom_site_fract_y
_atom_site_fract_z
Dy1 Dy 0.000 0.000 0.000
Dy2 Dy 0.000 0.000 0.265
Dy3 Dy 0.066 0.277 0.742
Ho1 Ho 0.178 0.178 0.178
Th1 Th 0.000 0.130 0.500
# Size of the total moment = 0.00 μB/cell
# Formation enthalpy at 0 K = 418.1 meV per atom
# Final energy = -276.3 eV per cell

=====

# DyHo10Th4, relaxed, DFT PBE-GGA
data_DyHo10Th4
_space_group_name_H-M_alt 'I 4/m'
_space_group_IT_number 87
_space_group_name_Hall '-I 4'
_cell_length_a 12.155
_cell_length_b 12.155
_cell_length_c 7.724
_cell_angle_alpha 90.00
_cell_angle_beta 90.00
_cell_angle_gamma 90.00
loop_
_atom_site_label
_atom_site_type_symbol
_atom_site_fract_x
_atom_site_fract_y
_atom_site_fract_z
Dy1 Dy 0.000 0.000 0.000
Ho1 Ho 0.000 0.500 0.250
Ho2 Ho 0.099 0.800 0.249
Th1 Th 0.102 0.298 0.500
# Size of the total moment = 0.02 μB/cell
# Formation enthalpy at 0 K = 850.6 meV per atom
# Final energy = -134.6 eV per cell

=====

# Dy5Ho12Th, relaxed, DFT PBE-GGA
data_Dy5Ho12Th
_space_group_name_H-M_alt 'C 1 2/m 1'
_space_group_IT_number 12
_cell_length_a 6.141
_cell_length_b 10.632
_cell_length_c 17.300
_cell_angle_alpha 90.00
_cell_angle_beta 96.81
_cell_angle_gamma 90.00
loop_
_space_group_symop_operation_xyz
'x,y,z'
'-x,-y,-z'
'-x,y,-z'
'x,-y,z'
'x+1/2,y+1/2,z'
'-x+1/2,-y+1/2,-z'
'-x+1/2,y+1/2,-z'
'x+1/2,-y+1/2,z'
loop_
_atom_site_label
_atom_site_type_symbol
_atom_site_fract_x
_atom_site_fract_y
_atom_site_fract_z
Dy1 Dy 0.000 0.000 0.000
Dy2 Dy 0.000 0.167 0.500
Dy3 Dy 0.000 0.334 0.000
Ho1 Ho 0.111 0.167 0.832
Ho2 Ho 0.111 0.500 0.833
Ho3 Ho 0.221 0.335 0.666
Ho4 Ho 0.224 0.000 0.666
Th1 Th 0.000 0.500 0.500
# Size of the total moment = 0.00 μB/cell
# Formation enthalpy at 0 K = 9.5 meV per atom
# Final energy = -170.4 eV per cell

=====

# DyHo2Th2, relaxed, DFT PBE-GGA
data_DyHo2Th2
_space_group_name_H-M_alt 'P 1 21/c 1'
_space_group_IT_number 14
_cell_length_a 14.571
_cell_length_b 7.101
_cell_length_c 6.180
_cell_angle_alpha 90.00
_cell_angle_beta 98.22
_cell_angle_gamma 90.00
loop_
_space_group_symop_operation_xyz
'x,y,z'
'-x,-y,-z'
'-x,y+1/2,-z+1/2'
'x,-y+1/2,z+1/2'
loop_
_atom_site_label
_atom_site_type_symbol
_atom_site_fract_x
_atom_site_fract_y
_atom_site_fract_z
Dy1 Dy 0.198 0.127 0.150
Ho1 Ho 0.196 0.622 0.148
Ho2 Ho 0.402 0.625 0.550
Th1 Th 0.000 0.124 0.752
Th2 Th 0.402 0.129 0.550
# Size of the total moment = 0.00 μB/cell
# Formation enthalpy at 0 K = 30.8 meV per atom
# Final energy = -113.8 eV per cell

=====

# Dy4Ho5Th, relaxed, DFT PBE-GGA
data_Dy4Ho5Th
_space_group_name_H-M_alt 'I 4'
_space_group_IT_number 79
_cell_length_a 10.141
_cell_length_b 10.141
_cell_length_c 6.333
_cell_angle_alpha 90.00
_cell_angle_beta 90.00
_cell_angle_gamma 90.00
loop_
_space_group_symop_operation_xyz
'x,y,z'
'-y,x,z'
'-x,-y,z'
'y,-x,z'
'x+1/2,y+1/2,z+1/2'
'-y+1/2,x+1/2,z+1/2'
'-x+1/2,-y+1/2,z+1/2'
'y+1/2,-x+1/2,z+1/2'
loop_
_atom_site_label
_atom_site_type_symbol
_atom_site_fract_x
_atom_site_fract_y
_atom_site_fract_z
Dy1 Dy 0.050 0.654 0.000
Ho1 Ho 0.000 0.000 0.242
Ho2 Ho 0.144 0.767 0.501
Th1 Th 0.000 0.000 0.776
# Size of the total moment = 0.00 μB/cell
# Formation enthalpy at 0 K = 329.9 meV per atom
# Final energy = -90.8 eV per cell

=====

# Dy6Ho3Th, relaxed, DFT PBE-GGA
data_Dy6Ho3Th
_space_group_name_H-M_alt 'R 3'
_space_group_IT_number 146
_space_group_name_Hall 'R 3'
_cell_length_a 9.7767
_cell_length_b 9.7767
_cell_length_c 11.7973
_cell_angle_alpha 90.00
_cell_angle_beta 90.00
_cell_angle_gamma 120.00
loop_
_atom_site_label
_atom_site_type_symbol
_atom_site_fract_x
_atom_site_fract_y
_atom_site_fract_z
Dy1 Dy 0.9998 0.3316 0.0000
Dy2 Dy 0.9998 0.6651 0.5001
Ho1 Ho 0.0000 0.0000 0.2585
Ho2 Ho 0.0000 0.0000 0.5007
Ho3 Ho 0.0000 0.0000 0.7430
Th1 Th 0.0000 0.0000 0.0004
# Size of the total moment = 0.00 μB/cell
# Formation enthalpy at 0 K = 292.9 meV per atom
# Final energy = -137.5 eV per cell

=====

# Dy3HoTh3, relaxed, DFT PBE-GGA
data_Dy3HoTh3
_space_group_name_H-M_alt 'P 63/m'
_space_group_IT_number 176
_space_group_name_Hall '-P 6c'
_cell_length_a 9.4935
_cell_length_b 9.4935
_cell_length_c 5.7902
_cell_angle_alpha 90.00
_cell_angle_beta 90.00
_cell_angle_gamma 120.00
loop_
_atom_site_label
_atom_site_type_symbol
_atom_site_fract_x
_atom_site_fract_y
_atom_site_fract_z
Dy1 Dy 0.0437 0.8047 0.2500
Ho1 Ho 0.3333 0.6667 0.2500
Th1 Th 0.1033 0.6174 0.7500
# Size of the total moment = 0.00 μB/cell
# Formation enthalpy at 0 K = 49.7 meV per atom
# Final energy = -80.6 eV per cell

=====

# Dy7HoTh3, relaxed, DFT PBE-GGA
data_Dy7HoTh3
_space_group_name_H-M_alt 'P -1'
_space_group_IT_number 2
_cell_length_a 6.432
_cell_length_b 6.681
_cell_length_c 8.625
_cell_angle_alpha 101.36
_cell_angle_beta 97.08
_cell_angle_gamma 96.77
loop_
_space_group_symop_operation_xyz
'x,y,z'
'-x,-y,-z'
loop_
_atom_site_label
_atom_site_type_symbol
_atom_site_fract_x
_atom_site_fract_y
_atom_site_fract_z
Dy1 Dy 0.000 0.000 0.000
Dy2 Dy 0.071 0.715 0.644
Dy3 Dy 0.206 0.231 0.705
Dy4 Dy 0.492 0.731 0.925
Ho1 Ho 0.000 0.500 0.000
Th1 Th 0.324 0.947 0.335
Th2 Th 0.500 0.500 0.500
# Size of the total moment = 0.00 μB/cell
# Formation enthalpy at 0 K = 151.8 meV per atom
# Final energy = -57.4 eV per cell